No. 1
## CsYSc2S (PBE)

Data for CsYSc2S after structural relaxation.

Cell: 5.3987 5.3987 6.1833 Å, 90.00 90.00 90.00°
With the nearest neighbours (Å) after each atom.
Positions (direct):
Cs1 0.0000 0.0000 0.0000  2 Y 3.09
Y1 0.0000 0.0000 0.5000  4 Sc 2.70
Sc1 0.0000 0.5000 0.5000  2 Y 2.70
Sc2 0.5000 0.0000 0.5000  2 Y 2.70
S1 0.5000 0.5000 0.0000  4 Cs 3.82, 8 Sc 4.10

Values from the calculation:
**ΔE_f (raw)**: 5.3 eV per formula unit
**Space-group type**: P4/mmm (123)
**Total DFT energy (no corrections)**: -18.80 eV per cell

=====

No. 2
## Ac3SiNi6Ge2 (PBE)

Data for Ac3SiNi6Ge2 after structural relaxation.

Cell: 5.9960 5.9960 7.7574 Å, 90.00 90.00 120.00°
With the nearest neighbours (Å) after each atom.
Positions (direct):
Ac1 0.0000 0.0000 0.0000  6 Ni 3.54, 6 Ge 3.61, 2 Si 3.88
Ac2 0.3333 0.6667 0.7200  9 Ni 3.04-3.10, 1 Ge 3.18
Ac3 0.6667 0.3333 0.2800  9 Ni 3.04-3.10, 1 Ge 3.18
Si1 0.0000 0.0000 0.5000  6 Ni 2.23
Ni1 0.1932 0.3865 0.3753  1 Si 2.23, 1 Ge 2.39
Ni2 0.1932 0.8068 0.3753  1 Si 2.23, 1 Ge 2.39
Ni3 0.3865 0.1932 0.6247  1 Si 2.23, 1 Ge 2.39
Ni4 0.6135 0.8068 0.3753  1 Si 2.23, 1 Ge 2.39
Ni5 0.8068 0.1932 0.6247  1 Si 2.23, 1 Ge 2.39
Ni6 0.8068 0.6135 0.6247  1 Si 2.23, 1 Ge 2.39
Ge1 0.3333 0.6667 0.1302  3 Ni 2.39
Ge2 0.6667 0.3333 0.8698  3 Ni 2.39

Values from the calculation:
**ΔE_f (raw)**: -5.4 eV per formula unit
**Space-group type**: P-3m1 (164)
**Total DFT energy (no corrections)**: -67.05 eV per cell

=====

No. 3
## Si2PAuC (PBE)

Data for Si2PAuC after structural relaxation.

Cell: 3.0823 4.4011 6.8684 Å, 88.48 89.70 80.85°
With the nearest neighbours (Å) after each atom.
Positions (direct):
Si1 0.0000 0.0000 0.0000  2 C 1.97-1.99
Si2 0.4765 0.9469 0.6253  1 C 1.91
P1 0.4615 0.5840 0.8653  1 C 1.78
Au1 0.9681 0.9922 0.3536  3 Si 2.42-2.43
C1 0.4564 0.1804 0.8567  1 P 1.78, 3 Si 1.91-1.99

Values from the calculation:
**ΔE_f (raw)**: 1.3 eV per formula unit
**Space-group type**: P1 (1)
**Total DFT energy (no corrections)**: -27.48 eV per cell
**Offset from the most stable computed form**: 53 meV/atom